1.
Compound: CsCaBr3
Source: Alexandria
Functional: GGA-PBE
Structure: relaxed

Lattice parameters (Å, degrees): 9.764 7.490 10.823 90.00 98.12 90.00
Positions (direct):
Cs: 0.112 0.200 0.175
Cs: 0.112 0.300 0.675
Cs: 0.888 0.700 0.325
Cs: 0.888 0.800 0.825
Ca: 0.416 0.742 0.572
Ca: 0.416 0.758 0.072
Ca: 0.584 0.242 0.928
Ca: 0.584 0.258 0.428
Br: 0.136 0.683 0.099
Br: 0.136 0.817 0.599
Br: 0.316 0.078 0.939
Br: 0.316 0.422 0.439
Br: 0.436 0.570 0.830
Br: 0.436 0.930 0.330
Br: 0.564 0.070 0.670
Br: 0.564 0.430 0.170
Br: 0.684 0.578 0.561
Br: 0.684 0.922 0.061
Br: 0.864 0.183 0.401
Br: 0.864 0.317 0.901

Values from the calculation:
space group	P2_1/c (14)
density	3.5	g cm⁻³
formation energy from raw total energies	-9.76	eV/f.u.
size of the total moment	0.000	μB/cell

---

2.
Compound: CsCaBr3
Source: Alexandria
Functional: GGA-PBE
Structure: relaxed

Lattice parameters (Å, degrees): 5.209 5.209 19.110 90.00 90.00 120.00
Positions (direct):
Cs: 0.000 0.000 0.000
Cs: 0.000 0.000 0.500
Ca: 0.333 0.667 0.250
Ca: 0.667 0.333 0.750
Br: 0.000 0.000 0.250
Br: 0.000 0.000 0.750
Br: 0.333 0.667 0.105
Br: 0.333 0.667 0.395
Br: 0.667 0.333 0.605
Br: 0.667 0.333 0.895

Values from the calculation:
space group	P6_3/mmc (194)
density	3.1	g cm⁻³
formation energy from raw total energies	-9.37	eV/f.u.
size of the total moment	0.000	μB/cell

---

3.
Compound: CsCaBr3
Source: Alexandria
Functional: GGA-PBE
Structure: relaxed

Lattice parameters (Å, degrees): 9.264 9.264 9.264 57.10 57.10 57.10
Positions (direct):
Cs: 0.000 0.000 0.000
Cs: 0.500 0.500 0.500
Ca: 0.250 0.250 0.250
Ca: 0.750 0.750 0.750
Br: 0.057 0.750 0.443
Br: 0.250 0.557 0.943
Br: 0.443 0.057 0.750
Br: 0.557 0.943 0.250
Br: 0.750 0.443 0.057
Br: 0.943 0.250 0.557

Values from the calculation:
space group	R-3c (167)
density	2.6	g cm⁻³
formation energy from raw total energies	-8.83	eV/f.u.
size of the total moment	0.000	μB/cell

---

4.
Compound: Cs3Ca2Br7
Source: Alexandria
Functional: GGA-PBE
Structure: relaxed

Lattice parameters (Å, degrees): 14.885 14.885 5.688 90.00 90.00 157.52
Positions (direct):
Cs: 0.000 0.000 0.000
Cs: 0.184 0.816 0.000
Cs: 0.816 0.184 0.000
Ca: 0.399 0.601 0.500
Ca: 0.601 0.399 0.500
Br: 0.097 0.903 0.500
Br: 0.302 0.698 0.500
Br: 0.402 0.598 0.000
Br: 0.500 0.500 0.500
Br: 0.598 0.402 0.000
Br: 0.698 0.302 0.500
Br: 0.903 0.097 0.500

Values from the calculation:
space group	Cmmm (65)
density	3.6	g cm⁻³
formation energy from raw total energies	-23.11	eV/f.u.
size of the total moment	0.000	μB/cell

---

5.
Compound: CsCa3Br
Source: Alexandria
Functional: GGA-PBE
Structure: relaxed

Lattice parameters (Å, degrees): 6.331 6.331 6.331 90.00 90.00 90.00
Positions (direct):
Cs: 0.000 0.000 0.000
Ca: 0.000 0.500 0.500
Ca: 0.500 0.000 0.500
Ca: 0.500 0.500 0.000
Br: 0.500 0.500 0.500

Values from the calculation:
space group	Pm-3m (221)
density	2.2	g cm⁻³
formation energy from raw total energies	-0.84	eV/f.u.
size of the total moment	0.000	μB/cell

---

6.
Compound: CsCaBr3
Source: Alexandria
Functional: GGA-PBE
Structure: relaxed

Lattice parameters (Å, degrees): 9.581 9.581 10.105 95.67 95.67 26.60
Positions (direct):
Cs: 0.100 0.100 0.389
Cs: 0.900 0.900 0.611
Ca: 0.308 0.308 0.165
Ca: 0.692 0.692 0.835
Br: 0.161 0.161 0.017
Br: 0.246 0.246 0.679
Br: 0.442 0.442 0.325
Br: 0.558 0.558 0.675
Br: 0.754 0.754 0.321
Br: 0.839 0.839 0.983

Values from the calculation:
space group	C2/m (12)
density	3.3	g cm⁻³
formation energy from raw total energies	-9.75	eV/f.u.
size of the total moment	0.000	μB/cell

---

7.
Compound: Cs6CaBr8
Source: Alexandria
Functional: GGA-PBE
Structure: relaxed

Lattice parameters (Å, degrees): 9.319 9.319 9.319 69.15 69.15 69.15
Positions (direct):
Cs: 0.011 0.804 0.439
Cs: 0.196 0.561 0.989
Cs: 0.439 0.011 0.804
Cs: 0.561 0.989 0.196
Cs: 0.804 0.439 0.011
Cs: 0.989 0.196 0.561
Ca: 0.500 0.500 0.500
Br: 0.155 0.155 0.155
Br: 0.196 0.410 0.656
Br: 0.344 0.804 0.590
Br: 0.410 0.656 0.196
Br: 0.590 0.344 0.804
Br: 0.656 0.196 0.410
Br: 0.804 0.590 0.344
Br: 0.845 0.845 0.845

Values from the calculation:
space group	R-3 (148)
density	3.6	g cm⁻³
formation energy from raw total energies	-27.41	eV/f.u.
size of the total moment	0.004	μB/cell

---

8.
Compound: Cs4CaBr5
Source: Alexandria
Functional: GGA-PBE
Structure: relaxed

Lattice parameters (Å, degrees): 9.068 9.068 9.068 99.32 99.32 132.54
Positions (direct):
Cs: 0.107 0.300 0.407
Cs: 0.300 0.893 0.193
Cs: 0.700 0.107 0.807
Cs: 0.893 0.700 0.593
Ca: 0.550 0.550 0.000
Br: 0.264 0.579 0.847
Br: 0.418 0.264 0.686
Br: 0.579 0.732 0.314
Br: 0.732 0.418 0.153
Br: 0.943 0.943 0.000

Values from the calculation:
space group	I4 (79)
density	3.2	g cm⁻³
formation energy from raw total energies	-16.53	eV/f.u.
size of the total moment	0.292	μB/cell

---

9.
Compound: CsCa2Br2
Source: Alexandria
Functional: GGA-PBE
Structure: relaxed

Lattice parameters (Å, degrees): 11.595 11.595 3.746 90.00 90.00 90.00
Positions (direct):
Cs: 0.000 0.000 0.000
Cs: 0.500 0.500 0.000
Ca: 0.112 0.388 0.000
Ca: 0.388 0.888 0.000
Ca: 0.612 0.112 0.000
Ca: 0.888 0.612 0.000
Br: 0.106 0.606 0.500
Br: 0.394 0.106 0.500
Br: 0.606 0.894 0.500
Br: 0.894 0.394 0.500

Values from the calculation:
space group	P4/mbm (127)
density	2.5	g cm⁻³
formation energy from raw total energies	-3.83	eV/f.u.
size of the total moment	0.000	μB/cell

---

10.
Compound: Cs2CaBr4
Source: Alexandria
Functional: GGA-PBE
Structure: relaxed

Lattice parameters (Å, degrees): 5.745 5.745 18.240 90.00 90.00 90.00
Positions (direct):
Cs: 0.000 0.000 0.143
Cs: 0.000 0.000 0.857
Cs: 0.500 0.500 0.357
Cs: 0.500 0.500 0.643
Ca: 0.000 0.000 0.500
Ca: 0.500 0.500 0.000
Br: 0.000 0.000 0.341
Br: 0.000 0.000 0.659
Br: 0.000 0.500 0.000
Br: 0.000 0.500 0.500
Br: 0.500 0.000 0.000
Br: 0.500 0.000 0.500
Br: 0.500 0.500 0.159
Br: 0.500 0.500 0.841

Values from the calculation:
space group	I4/mmm (139)
density	3.5	g cm⁻³
formation energy from raw total energies	-13.49	eV/f.u.
size of the total moment	0.000	μB/cell

---

11.
Compound: Cs2CaBr2
Source: Alexandria
Functional: GGA-PBE
Structure: relaxed

Lattice parameters (Å, degrees): 9.771 9.771 4.794 90.00 90.00 90.00
Positions (direct):
Cs: 0.146 0.354 0.000
Cs: 0.354 0.854 0.000
Cs: 0.646 0.146 0.000
Cs: 0.854 0.646 0.000
Ca: 0.000 0.000 0.500
Ca: 0.500 0.500 0.500
Br: 0.159 0.659 0.500
Br: 0.341 0.159 0.500
Br: 0.659 0.841 0.500
Br: 0.841 0.341 0.500

Values from the calculation:
space group	P4/mbm (127)
density	3.4	g cm⁻³
formation energy from raw total energies	-5.71	eV/f.u.
size of the total moment	0.000	μB/cell

---

12.
Compound: CsCa2Br
Source: Alexandria
Functional: GGA-PBE
Structure: relaxed

Lattice parameters (Å, degrees): 9.259 9.259 9.259 90.00 90.00 90.00
Positions (direct):
Cs: 0.000 0.000 0.000
Cs: 0.000 0.500 0.500
Cs: 0.500 0.000 0.500
Cs: 0.500 0.500 0.000
Ca: 0.250 0.250 0.250
Ca: 0.250 0.250 0.750
Ca: 0.250 0.750 0.250
Ca: 0.250 0.750 0.750
Ca: 0.750 0.250 0.250
Ca: 0.750 0.250 0.750
Ca: 0.750 0.750 0.250
Ca: 0.750 0.750 0.750
Br: 0.000 0.000 0.500
Br: 0.000 0.500 0.000
Br: 0.500 0.000 0.000
Br: 0.500 0.500 0.500

Values from the calculation:
space group	Fm-3m (225)
density	2.5	g cm⁻³
formation energy from raw total energies	-0.12	eV/f.u.
size of the total moment	0.000	μB/cell